# Nd4Cd3In | the Alexandria database | PBE | optimized geometry
data_Nd4Cd3In
_symmetry_space_group_name_H-M 'R -3 m'
_symmetry_Int_Tables_number 166
_symmetry_space_group_name_Hall '-R 3 2"'
_cell_length_a 5.4598
_cell_length_b 5.4598
_cell_length_c 26.8103
_cell_angle_alpha 90.00
_cell_angle_beta 90.00
_cell_angle_gamma 120.00
loop_
_atom_site_label
_atom_site_fract_x
_atom_site_fract_y
_atom_site_fract_z
Nd1 0.0000 0.0000 0.1247
Nd2 0.0000 0.0000 0.3747
Cd1 0.0000 0.0000 0.0000
Cd2 0.0000 0.0000 0.2507
In1 0.0000 0.0000 0.5000
# - Spin magnetization: 0.150 μB per atom
# - E_form: -361 meV/atom
# - E_tot: -3.431 eV per atom
# - DOS at the Fermi energy: 10.709 states/eV/f.u.